NaTmHgO3 | GGA-PBE | relaxed

a = 6.357 Å, b = 6.357 Å, c = 8.662 Å
α = 90.00°, β = 90.00°, γ = 147.96°
Atoms (fractional coordinates):
Na (0.153, 0.847, 0.750)
Na (0.847, 0.153, 0.250)
Tm (0.500, 0.500, 0.000)
Tm (0.500, 0.500, 0.500)
Hg (0.137, 0.863, 0.250)
Hg (0.863, 0.137, 0.750)
O (0.120, 0.880, 0.016)
O (0.120, 0.880, 0.484)
O (0.471, 0.529, 0.250)
O (0.529, 0.471, 0.750)
O (0.880, 0.120, 0.516)
O (0.880, 0.120, 0.984)

Results
space group	Cmcm, No. 63
total energy	-64.52	eV/cell
total magnetic moment	0.00	μB per atom
calculated density	7.9	g/cm3